SmDy3S6 | PBE | relaxed

Structure (CIF):
```
data_SmDy3S6
_cell_length_a 11.063
_cell_length_b 3.977
_cell_length_c 11.340
_cell_angle_alpha 90.00
_cell_angle_beta 108.66
_cell_angle_gamma 90.00
_space_group_name_H-M_alt 'P 1 21/m 1'
_space_group_IT_number 11
_space_group_name_Hall '-P 2yb'
loop_
_atom_site_label
_atom_site_type_symbol
_atom_site_fract_x
_atom_site_fract_y
_atom_site_fract_z
Sm1 Sm 0.046 0.250 0.192
Dy1 Dy 0.161 0.250 0.585
Dy2 Dy 0.319 0.750 0.997
Dy3 Dy 0.436 0.250 0.332
S1 S 0.082 0.750 0.404
S2 S 0.115 0.250 0.963
S3 S 0.194 0.750 0.749
S4 S 0.259 0.750 0.225
S5 S 0.397 0.250 0.562
S6 S 0.478 0.250 0.112
```

Output
- E_tot (eV per atom) = -6.413
- M_tot (μB per formula unit) = 0.00
- ΔE_f (raw) (eV per atom) = -2.08

Sm2DyS4 | PBE | relaxed

Structure (CIF):
```
data_Sm2DyS4
_cell_length_a 7.943
_cell_length_b 8.021
_cell_length_c 11.097
_cell_angle_alpha 90.00
_cell_angle_beta 90.00
_cell_angle_gamma 90.00
_space_group_name_H-M_alt 'I m m a'
_space_group_IT_number 74
_space_group_name_Hall '-I 2b 2'
loop_
_atom_site_label
_atom_site_type_symbol
_atom_site_fract_x
_atom_site_fract_y
_atom_site_fract_z
Sm1 Sm 0.000 0.000 0.000
Sm2 Sm 0.250 0.250 0.250
Dy1 Dy 0.250 0.250 0.750
S1 S 0.000 0.005 0.747
S2 S 0.244 0.250 0.997
```

Output
- energy above the most stable polymorph in this dataset (meV/atom) = 0
- E_tot (eV per atom) = -6.405
- M_tot (μB per formula unit) = 0.00
- ΔE_f (raw) (eV per atom) = -2.04

Sm3Dy4S8 | PBE | relaxed

Structure (CIF):
```
data_Sm3Dy4S8
_cell_length_a 11.162
_cell_length_b 11.167
_cell_length_c 7.881
_cell_angle_alpha 90.00
_cell_angle_beta 134.87
_cell_angle_gamma 90.00
_space_group_name_H-M_alt 'C 1 2/m 1'
_space_group_IT_number 12
_space_group_name_Hall '-C 2y'
loop_
_atom_site_label
_atom_site_type_symbol
_atom_site_fract_x
_atom_site_fract_y
_atom_site_fract_z
Sm1 Sm 0.000 0.000 0.000
Sm2 Sm 0.250 0.250 0.000
Dy1 Dy 0.000 0.500 0.000
Dy2 Dy 0.000 0.500 0.500
Dy3 Dy 0.250 0.250 0.500
S1 S 0.000 0.252 0.500
S2 S 0.000 0.253 0.000
S3 S 0.245 0.500 0.996
S4 S 0.246 0.500 0.494
```

Output
- E_tot (eV per atom) = -6.423
- M_tot (μB per formula unit) = 0.00
- ΔE_f (raw) (eV per atom) = -2.05

SrSmDy4S8 | PBE | relaxed

Structure (CIF):
```
data_SrSmDy4S8
_cell_length_a 8.1687
_cell_length_b 8.1687
_cell_length_c 20.1790
_cell_angle_alpha 90.00
_cell_angle_beta 90.00
_cell_angle_gamma 120.00
_space_group_name_H-M_alt 'R 3 m'
_space_group_IT_number 160
_space_group_name_Hall 'R 3 -2"'
loop_
_atom_site_label
_atom_site_type_symbol
_atom_site_fract_x
_atom_site_fract_y
_atom_site_fract_z
Sr1 Sr 0.0000 0.0000 0.0000
Sm1 Sm 0.0000 0.0000 0.3722
Dy1 Dy 0.0000 0.0000 0.7488
Dy2 Dy 0.0048 0.5024 0.8747
S1 S 0.0000 0.0000 0.1385
S2 S 0.0000 0.0000 0.6163
S3 S 0.0164 0.5082 0.1282
S4 S 0.1838 0.3675 0.9507
```

Output
- E_tot (eV per atom) = -6.120
- M_tot (μB per formula unit) = 0.00
- ΔE_f (raw) (eV per atom) = -1.99

TbSm3Dy4S8 | PBE | relaxed

Structure (CIF):
```
data_TbSm3Dy4S8
_cell_length_a 7.8827
_cell_length_b 7.8827
_cell_length_c 19.4103
_cell_angle_alpha 90.00
_cell_angle_beta 90.00
_cell_angle_gamma 120.00
_space_group_name_H-M_alt 'R -3 m'
_space_group_IT_number 166
_space_group_name_Hall '-R 3 2"'
loop_
_atom_site_label
_atom_site_type_symbol
_atom_site_fract_x
_atom_site_fract_y
_atom_site_fract_z
Tb1 Tb 0.0000 0.0000 0.0000
Sm1 Sm 0.0000 0.5000 0.0000
Dy1 Dy 0.0000 0.0000 0.5000
Dy2 Dy 0.0000 0.5000 0.5000
S1 S 0.0000 0.0000 0.2465
S2 S 0.0035 0.5018 0.7526
```

Output
- E_tot (eV per atom) = -6.392
- M_tot (μB per formula unit) = 0.00
- ΔE_f (raw) (eV per atom) = -2.00

TbSmDy2S6 | PBE | relaxed

Structure (CIF):
```
data_TbSmDy2S6
_cell_length_a 6.9678
_cell_length_b 6.9678
_cell_length_c 18.5791
_cell_angle_alpha 90.00
_cell_angle_beta 90.00
_cell_angle_gamma 120.00
_space_group_name_H-M_alt 'R 3'
_space_group_IT_number 146
_space_group_name_Hall 'R 3'
loop_
_atom_site_label
_atom_site_type_symbol
_atom_site_fract_x
_atom_site_fract_y
_atom_site_fract_z
Tb1 Tb 0.0000 0.0000 0.0000
Sm1 Sm 0.0000 0.0000 0.5026
Dy1 Dy 0.0000 0.0000 0.2995
Dy2 Dy 0.0000 0.0000 0.7979
S1 S 0.0040 0.3038 0.3979
S2 S 0.0116 0.7088 0.8982
```

Output
- E_tot (eV per atom) = -6.385
- M_tot (μB per formula unit) = 0.00
- ΔE_f (raw) (eV per atom) = -2.05

Tb2Sm3DyS6 | PBE | relaxed

Structure (CIF):
```
data_Tb2Sm3DyS6
_cell_length_a 6.842
_cell_length_b 11.894
_cell_length_c 6.884
_cell_angle_alpha 90.00
_cell_angle_beta 109.40
_cell_angle_gamma 90.00
_space_group_name_H-M_alt 'C 1 2/m 1'
_space_group_IT_number 12
_space_group_name_Hall '-C 2y'
loop_
_atom_site_label
_atom_site_type_symbol
_atom_site_fract_x
_atom_site_fract_y
_atom_site_fract_z
Tb1 Tb 0.000 0.167 0.000
Sm1 Sm 0.000 0.000 0.500
Sm2 Sm 0.000 0.333 0.500
Dy1 Dy 0.000 0.500 0.000
S1 S 0.246 0.334 0.241
S2 S 0.249 0.000 0.242
```

Output
- E_tot (eV per atom) = -6.418
- M_tot (μB per formula unit) = 0.00
- ΔE_f (raw) (eV per atom) = -2.02

Tb4SmDyS8 | PBE | relaxed

Structure (CIF):
```
data_Tb4SmDyS8
_cell_length_a 8.1079
_cell_length_b 8.1079
_cell_length_c 19.8371
_cell_angle_alpha 90.00
_cell_angle_beta 90.00
_cell_angle_gamma 120.00
_space_group_name_H-M_alt 'R 3 m'
_space_group_IT_number 160
_space_group_name_Hall 'R 3 -2"'
loop_
_atom_site_label
_atom_site_type_symbol
_atom_site_fract_x
_atom_site_fract_y
_atom_site_fract_z
Tb1 Tb 0.0000 0.0000 0.0000
Tb2 Tb 0.0011 0.5006 0.8754
Sm1 Sm 0.0000 0.0000 0.7503
Dy1 Dy 0.0000 0.0000 0.3750
S1 S 0.0000 0.0000 0.1323
S2 S 0.0000 0.0000 0.6160
S3 S 0.0258 0.5129 0.1280
S4 S 0.1770 0.3540 0.9566
```

Output
- E_tot (eV per atom) = -6.280
- M_tot (μB per formula unit) = 0.00
- ΔE_f (raw) (eV per atom) = -1.93

- What is the M_tot in the third record?
  0.00 μB per formula unit

- Which formula does entry 8 have?
  Tb4SmDyS8

- Which of these has the lowest ΔE_f (raw)?
  SmDy3S6